Material: MgZr2Au
Method: DFT, PBEsol
State: relaxed

Output
formation enthalpy at 0 K = -322 meV per atom
space group = P4mm, No. 99

Lattice parameters (Å, degrees): 3.1668 3.1668 8.1590 90.00 90.00 90.00
Positions (direct):
Mg  0.5000  0.5000  0.7146
Au  0.0000  0.0000  0.5067
Zr  0.0000  0.0000  0.0070
Zr  0.5000  0.5000  0.2716

---

Material: Ti3Fe2P6WO24
Method: DFT, PBEsol
State: relaxed

Output
raw formation energy = -2.211 eV per atom
space group = R3, No. 146

Lattice parameters (Å, degrees): 8.4279 8.4279 8.4279 62.01 62.01 62.01
Positions (direct):
Ti  0.6398  0.6398  0.6398
Ti  0.8616  0.8616  0.8616
Ti  0.3607  0.3607  0.3607
Fe  0.9945  0.9945  0.9945
Fe  0.5012  0.5012  0.5012
P  0.9583  0.2524  0.5409
P  0.5409  0.9583  0.2524
P  0.2524  0.5409  0.9583
P  0.7464  0.4639  0.0413
P  0.4639  0.0413  0.7464
P  0.0413  0.7464  0.4639
W  0.1375  0.1375  0.1375
O  0.4958  0.1191  0.3192
O  0.3192  0.4958  0.1191
O  0.1191  0.3192  0.4958
O  0.9449  0.0930  0.7358
O  0.9942  0.1845  0.3839
O  0.7617  0.4087  0.5581
O  0.7358  0.9449  0.0930
O  0.5581  0.7617  0.4087
O  0.8212  0.6182  0.9982
O  0.4087  0.5581  0.7617
O  0.9028  0.2643  0.0542
O  0.6182  0.9982  0.8212
O  0.3839  0.9942  0.1845
O  0.0930  0.7358  0.9449
O  0.5907  0.4482  0.2384
O  0.1845  0.3839  0.9942
O  0.4482  0.2384  0.5907
O  0.2643  0.0542  0.9028
O  0.2384  0.5907  0.4482
O  0.9982  0.8212  0.6182
O  0.0542  0.9028  0.2643
O  0.8842  0.6761  0.5064
O  0.6761  0.5064  0.8842
O  0.5064  0.8842  0.6761

---

Material: Ca2MgTa
Method: DFT, PBEsol
State: relaxed

Output
formation enthalpy at 0 K = 463 meV per atom
space group = P4mm, No. 99

Lattice parameters (Å, degrees): 3.1924 3.1924 10.1774 90.00 90.00 90.00
Positions (direct):
Ca  0.0000  0.0000  0.9585
Ca  0.5000  0.5000  0.2779
Mg  0.0000  0.0000  0.5345
Ta  0.5000  0.5000  0.7291

---

Material: LiPbIO2
Method: DFT, PBEsol
State: relaxed

Output
raw formation energy = -0.077 eV per atom
space group = P4/mmm, No. 123

Lattice parameters (Å, degrees): 4.3142 4.3142 4.9378 90.00 90.00 90.00
Positions (direct):
Pb  0.5000  0.5000  0.5000
I  0.0000  0.0000  0.5000
O  0.0000  0.5000  0.0000
O  0.5000  0.0000  0.0000
Li  0.0000  0.0000  0.0000

---

Material: SiH8N2F6
Method: DFT, PBEsol
State: relaxed

Output
VASP energy = -178.367 eV for the cell shown
space group = P6_3mc, No. 186

Lattice parameters (Å, degrees): 5.7737 5.7737 9.1372 90.00 90.00 120.00
Positions (direct):
F  0.4733  0.9465  0.8632
F  0.4733  0.5267  0.8632
F  0.0535  0.5267  0.8632
F  0.5267  0.0535  0.3632
F  0.5267  0.4733  0.3632
F  0.9465  0.4733  0.3632
F  0.6132  0.8066  0.6472
F  0.1934  0.3868  0.6472
F  0.1934  0.8066  0.6472
F  0.3868  0.1934  0.1472
F  0.8066  0.6132  0.1472
F  0.8066  0.1934  0.1472
H  0.8612  0.4306  0.5937
H  0.5694  0.1388  0.5937
H  0.5694  0.4306  0.5937
H  0.1388  0.5694  0.0937
H  0.4306  0.8612  0.0937
H  0.4306  0.5694  0.0937
H  0.0976  0.1952  0.4492
H  0.0976  0.9024  0.4492
H  0.8048  0.9024  0.4492
H  0.9024  0.8048  0.9492
H  0.9024  0.0976  0.9492
H  0.1952  0.0976  0.9492
H  0.6667  0.3333  0.7446
H  0.3333  0.6667  0.2446
H  0.0000  0.0000  0.2988
H  0.0000  0.0000  0.7988
N  0.6667  0.3333  0.6318
N  0.3333  0.6667  0.1318
N  0.0000  0.0000  0.4117
N  0.0000  0.0000  0.9117
Si  0.3333  0.6667  0.7563
Si  0.6667  0.3333  0.2563

---

Material: Sc2Co
Method: DFT, PBEsol
State: relaxed

Output
formation enthalpy at 0 K = -210 meV per atom
space group = Cmc2_1, No. 36

Lattice parameters (Å, degrees): 3.1805 5.8850 6.0502 90.00 90.00 105.68
Positions (direct):
Sc  0.5231  0.0462  0.2074
Sc  0.2162  0.4324  0.5382
Sc  0.4769  0.9538  0.7074
Sc  0.7838  0.5676  0.0382
Co  0.1190  0.2381  0.9214
Co  0.8810  0.7619  0.4214

---

no.,total magnetic moment (μB per atom)
1,0.000
2,0.238
3,0.002
4,0.400
5,0.000
6,0.000